[1]
# Sr2In4C

A geometry-optimized Sr2In4C structure (PBE, Alexandria).

```
Sr2In4C
1.0
-4.248 2.426 0.467
-1.798 -2.400 -3.894
-5.983 -6.167 3.463
Sr C In
2 1 4
direct
0.665 0.665 0.669 Sr
0.335 0.335 0.331 Sr
0.000 0.000 0.000 C
0.864 0.864 0.271 In
0.136 0.136 0.729 In
0.000 0.500 0.000 In
0.500 0.000 0.000 In
```

energy relative to the elements	232	meV per atom
VASP energy	-3.13	eV per atom

***

[2]
# SrInC2

A geometry-optimized SrInC2 structure (PBE, Alexandria).

```
SrInC2
1.0
-0.138 2.126 4.313
1.754 -3.995 2.025
7.225 1.403 2.223
Sr C In
2 4 2
direct
0.500 0.500 0.000 Sr
0.250 0.750 0.500 Sr
0.749 0.125 0.250 C
0.001 0.625 0.250 C
0.375 0.251 0.750 C
0.875 0.999 0.750 C
0.000 0.000 0.000 In
0.750 0.250 0.500 In
```

energy relative to the elements	1332	meV per atom
VASP energy	-4.39	eV per atom

***

[3]
# SrInC

A geometry-optimized SrInC structure (PBE, Alexandria).

```
SrInC
1.0
-0.530 -0.071 -4.190
-0.394 -4.300 2.252
-7.878 4.636 0.918
Sr In C
2 2 2
direct
0.086 0.171 0.820 Sr
0.914 0.829 0.180 Sr
0.329 0.657 0.449 In
0.671 0.343 0.551 In
0.578 0.156 0.023 C
0.422 0.844 0.977 C
```

energy relative to the elements	-117	meV per atom
VASP energy	-4.66	eV per atom

***

[4]
# SrInC3

A geometry-optimized SrInC3 structure (PBE, Alexandria).

```
SrInC3
1.0
4.747 0.000 0.000
0.000 4.747 0.000
0.000 0.000 4.747
Sr C In
1 3 1
direct
0.000 0.000 0.000 Sr
0.000 0.500 0.000 C
0.000 0.000 0.500 C
0.500 0.000 0.000 C
0.500 0.500 0.500 In
```

energy relative to the elements	3282	meV per atom
VASP energy	-3.14	eV per atom

***

[5]
# SrIn3C

A geometry-optimized SrIn3C structure (PBE, Alexandria).

```
SrIn3C
1.0
5.022 0.000 0.000
0.000 5.022 0.000
0.000 0.000 5.022
Sr C In
1 1 3
direct
0.500 0.500 0.500 Sr
0.000 0.000 0.000 C
0.000 0.500 0.000 In
0.000 0.000 0.500 In
0.500 0.000 0.000 In
```

energy relative to the elements	598	meV per atom
VASP energy	-3.23	eV per atom

***

[6]
# SrInC3

A geometry-optimized SrInC3 structure (PBE, Alexandria).

```
SrInC3
1.0
4.438 0.000 0.000
0.000 4.438 0.000
0.000 0.000 4.438
Sr C In
1 3 1
direct
0.500 0.500 0.500 Sr
0.000 0.500 0.000 C
0.000 0.000 0.500 C
0.500 0.000 0.000 C
0.000 0.000 0.000 In
```

energy relative to the elements	2202	meV per atom
VASP energy	-4.22	eV per atom

***

[7]
# SrY2InC

A geometry-optimized SrY2InC structure (PBE, Alexandria).

```
SrY2InC
1.0
-3.505 3.472 -0.436
-1.069 -1.650 -4.546
-3.630 -3.403 2.089
Y Sr C In
2 1 1 1
direct
0.000 0.500 0.000 Y
0.500 0.000 0.000 Y
0.000 0.000 0.500 Sr
0.000 0.000 0.000 C
0.500 0.500 0.500 In
```

energy relative to the elements	-217	meV per atom
VASP energy	-5.53	eV per atom

***

[8]
# TaInC3

A geometry-optimized TaInC3 structure (PBE, Alexandria).

```
TaInC3
1.0
-2.487 2.088 -2.744
-3.434 -1.808 1.737
-0.314 3.232 2.744
C In Ta
3 1 1
direct
0.000 0.500 0.000 C
0.000 0.000 0.500 C
0.500 0.000 0.000 C
0.500 0.500 0.500 In
0.000 0.000 0.000 Ta
```

energy relative to the elements	1682	meV per atom
VASP energy	-6.77	eV per atom

***

[9]
# TaInC

A geometry-optimized TaInC structure (PBE, Alexandria).

```
TaInC
1.0
-2.894 0.332 1.169
-0.458 -3.094 -0.253
3.674 -1.348 9.538
In C Ta
2 2 2
direct
0.758 0.758 0.638 In
0.242 0.242 0.362 In
0.751 0.751 0.896 C
0.249 0.249 0.104 C
0.251 0.251 0.896 Ta
0.749 0.749 0.104 Ta
```

energy relative to the elements	-164	meV per atom
VASP energy	-8.10	eV per atom

***

[10]
# TaInC3

A geometry-optimized TaInC3 structure (PBE, Alexandria).

```
TaInC3
1.0
-0.562 3.740 -1.645
-4.085 -0.496 0.268
0.045 1.666 3.772
C In Ta
3 1 1
direct
0.000 0.500 0.000 C
0.000 0.000 0.500 C
0.500 0.000 0.000 C
0.000 0.000 0.000 In
0.500 0.500 0.500 Ta
```

energy relative to the elements	3062	meV per atom
VASP energy	-5.39	eV per atom

***

[11]
# Ta3InC

A geometry-optimized Ta3InC structure (PBE, Alexandria).

```
Ta3InC
1.0
4.991 0.000 0.000
0.000 4.991 0.000
0.000 0.000 4.991
C In Ta
1 1 3
direct
0.500 0.500 0.500 C
0.000 0.000 0.000 In
0.000 0.500 0.000 Ta
0.000 0.000 0.500 Ta
0.500 0.000 0.000 Ta
```

energy relative to the elements	3490	meV per atom
VASP energy	-6.01	eV per atom

***

[12]
# Ta2InC

A geometry-optimized Ta2InC structure (PBE, Alexandria).

```
Ta2InC
1.0
-2.723 1.597 -0.310
1.123 -1.706 -2.427
-7.338 -11.591 4.752
Ta In C
4 2 2
direct
0.333 0.667 0.083 Ta
0.667 0.333 0.583 Ta
0.667 0.333 0.917 Ta
0.333 0.667 0.417 Ta
0.333 0.667 0.750 In
0.667 0.333 0.250 In
0.000 0.000 0.000 C
0.000 0.000 0.500 C
```

energy relative to the elements	-386	meV per atom
VASP energy	-9.30	eV per atom

***

Q: What is the energy relative to the elements in the ninth record?
A: -164 meV per atom

***

Q: What is the energy relative to the elements in the fifth record?
A: 598 meV per atom

***

Please write out number 4 again, unchanged.
# SrInC3

A geometry-optimized SrInC3 structure (PBE, Alexandria).

```
SrInC3
1.0
4.747 0.000 0.000
0.000 4.747 0.000
0.000 0.000 4.747
Sr C In
1 3 1
direct
0.000 0.000 0.000 Sr
0.000 0.500 0.000 C
0.000 0.000 0.500 C
0.500 0.000 0.000 C
0.500 0.500 0.500 In
```

energy relative to the elements	3282	meV per atom
VASP energy	-3.14	eV per atom

***

Q: VASP energy of number 7 (SrY2InC)?
A: -5.53 eV per atom